1.
# K2CaIr (PBE, optimized geometry)
data_K2CaIr
_cell_length_a 5.4350
_cell_length_b 5.4350
_cell_length_c 5.4350
_cell_angle_alpha 60.00
_cell_angle_beta 60.00
_cell_angle_gamma 60.00
_symmetry_space_group_name_H-M 'P 1'
_symmetry_Int_Tables_number 1
loop_
_symmetry_equiv_pos_as_xyz
'x,y,z'
loop_
_atom_site_label
_atom_site_type_symbol
_atom_site_fract_x
_atom_site_fract_y
_atom_site_fract_z
K1 K 0.0000 0.0000 0.0000
K2 K 0.2500 0.2500 0.2500
Ca1 Ca 0.7500 0.7500 0.7500
Ir1 Ir 0.5000 0.5000 0.5000
# Density of states at the Fermi level (states/eV/atom): 0.854
# Excess energy over the best structure of this formula in the dataset (meV/atom): 263.5
# DFT formation energy (meV/atom): 494
# Symmetry: F-43m (216)

=====

2.
# K2CaIr (PBE, optimized geometry)
data_K2CaIr
_cell_length_a 6.1921
_cell_length_b 6.1921
_cell_length_c 3.9557
_cell_angle_alpha 90.00
_cell_angle_beta 90.00
_cell_angle_gamma 122.92
_symmetry_space_group_name_H-M 'P 1'
_symmetry_Int_Tables_number 1
loop_
_symmetry_equiv_pos_as_xyz
'x,y,z'
loop_
_atom_site_label
_atom_site_type_symbol
_atom_site_fract_x
_atom_site_fract_y
_atom_site_fract_z
K1 K 0.0000 0.5000 0.0000
K2 K 0.5000 0.0000 0.0000
Ca1 Ca 0.0000 0.0000 0.5000
Ir1 Ir 0.5000 0.5000 0.5000
# Density of states at the Fermi level (states/eV/atom): 0.940
# Excess energy over the best structure of this formula in the dataset (meV/atom): 539.8
# DFT formation energy (meV/atom): 770
# Symmetry: Cmmm (65)

=====

3.
# K2CaIr (PBE, optimized geometry)
data_K2CaIr
_cell_length_a 10.1942
_cell_length_b 10.1942
_cell_length_c 4.6623
_cell_angle_alpha 103.10
_cell_angle_beta 103.10
_cell_angle_gamma 19.29
_symmetry_space_group_name_H-M 'P 1'
_symmetry_Int_Tables_number 1
loop_
_symmetry_equiv_pos_as_xyz
'x,y,z'
loop_
_atom_site_label
_atom_site_type_symbol
_atom_site_fract_x
_atom_site_fract_y
_atom_site_fract_z
K1 K 0.1497 0.1497 0.1482
K2 K 0.8503 0.8503 0.8518
Ca1 Ca 0.0000 0.0000 0.5000
Ir1 Ir 0.5000 0.5000 0.0000
# Density of states at the Fermi level (states/eV/atom): 0.727
# Excess energy over the best structure of this formula in the dataset (meV/atom): 0.0
# DFT formation energy (meV/atom): 230
# Symmetry: C2/m (12)

=====

4.
# KCaIr (PBE, optimized geometry)
data_KCaIr
_cell_length_a 5.0172
_cell_length_b 5.0172
_cell_length_c 3.3081
_cell_angle_alpha 90.00
_cell_angle_beta 90.00
_cell_angle_gamma 120.00
_symmetry_space_group_name_H-M 'P 1'
_symmetry_Int_Tables_number 1
loop_
_symmetry_equiv_pos_as_xyz
'x,y,z'
loop_
_atom_site_label
_atom_site_type_symbol
_atom_site_fract_x
_atom_site_fract_y
_atom_site_fract_z
K1 K 0.0000 0.0000 0.0000
Ca1 Ca 0.6667 0.3333 0.3532
Ir1 Ir 0.3333 0.6667 0.6454
# Density of states at the Fermi level (states/eV/atom): 0.665
# Excess energy over the best structure of this formula in the dataset (meV/atom): 217.3
# DFT formation energy (meV/atom): 495
# Symmetry: P3m1 (156)

=====

5.
# K2CaIr (PBE, optimized geometry)
data_K2CaIr
_cell_length_a 12.6932
_cell_length_b 12.6932
_cell_length_c 12.6932
_cell_angle_alpha 159.80
_cell_angle_beta 159.80
_cell_angle_gamma 28.72
_symmetry_space_group_name_H-M 'P 1'
_symmetry_Int_Tables_number 1
loop_
_symmetry_equiv_pos_as_xyz
'x,y,z'
loop_
_atom_site_label
_atom_site_type_symbol
_atom_site_fract_x
_atom_site_fract_y
_atom_site_fract_z
K1 K 0.1042 0.1250 0.4792
K2 K 0.3750 0.8958 0.0208
K3 K 0.6458 0.6250 0.5208
K4 K 0.8750 0.3542 0.9792
Ca1 Ca 0.2500 0.7500 0.5000
Ca2 Ca 0.5000 0.5000 0.0000
Ir1 Ir 0.0000 0.0000 0.0000
Ir2 Ir 0.7500 0.2500 0.5000
# Density of states at the Fermi level (states/eV/atom): 0.841
# Excess energy over the best structure of this formula in the dataset (meV/atom): 413.4
# DFT formation energy (meV/atom): 643
# Symmetry: I-42d (122)

=====

6.
# K2CaIr (PBE, optimized geometry)
data_K2CaIr
_cell_length_a 3.3166
_cell_length_b 3.3166
_cell_length_c 12.3370
_cell_angle_alpha 90.00
_cell_angle_beta 90.00
_cell_angle_gamma 90.00
_symmetry_space_group_name_H-M 'P 1'
_symmetry_Int_Tables_number 1
loop_
_symmetry_equiv_pos_as_xyz
'x,y,z'
loop_
_atom_site_label
_atom_site_type_symbol
_atom_site_fract_x
_atom_site_fract_y
_atom_site_fract_z
K1 K 0.0000 0.0000 0.1826
K2 K 0.0000 0.0000 0.8174
Ca1 Ca 0.5000 0.5000 0.5000
Ir1 Ir 0.5000 0.5000 0.0000
# Density of states at the Fermi level (states/eV/atom): 1.367
# Excess energy over the best structure of this formula in the dataset (meV/atom): 584.9
# DFT formation energy (meV/atom): 815
# Symmetry: P4/mmm (123)

=====

7.
# KCa3Ir (PBE, optimized geometry)
data_KCa3Ir
_cell_length_a 5.6999
_cell_length_b 5.6999
_cell_length_c 5.6999
_cell_angle_alpha 90.00
_cell_angle_beta 90.00
_cell_angle_gamma 90.00
_symmetry_space_group_name_H-M 'P 1'
_symmetry_Int_Tables_number 1
loop_
_symmetry_equiv_pos_as_xyz
'x,y,z'
loop_
_atom_site_label
_atom_site_type_symbol
_atom_site_fract_x
_atom_site_fract_y
_atom_site_fract_z
K1 K 0.0000 0.0000 0.0000
Ca1 Ca 0.0000 0.5000 0.5000
Ca2 Ca 0.5000 0.0000 0.5000
Ca3 Ca 0.5000 0.5000 0.0000
Ir1 Ir 0.5000 0.5000 0.5000
# Density of states at the Fermi level (states/eV/atom): 0.578
# Excess energy over the best structure of this formula in the dataset (meV/atom): 0.0
# DFT formation energy (meV/atom): -153
# Symmetry: Pm-3m (221)

=====

8.
# KCaIr (PBE, optimized geometry)
data_KCaIr
_cell_length_a 8.1339
_cell_length_b 8.1339
_cell_length_c 8.1339
_cell_angle_alpha 155.29
_cell_angle_beta 155.09
_cell_angle_gamma 35.37
_symmetry_space_group_name_H-M 'P 1'
_symmetry_Int_Tables_number 1
loop_
_symmetry_equiv_pos_as_xyz
'x,y,z'
loop_
_atom_site_label
_atom_site_type_symbol
_atom_site_fract_x
_atom_site_fract_y
_atom_site_fract_z
K1 K 0.0000 0.0000 0.0000
Ca1 Ca 0.7663 0.7663 0.0000
Ir1 Ir 0.3585 0.3585 0.0000
# Density of states at the Fermi level (states/eV/atom): 0.722
# Excess energy over the best structure of this formula in the dataset (meV/atom): 0.0
# DFT formation energy (meV/atom): 277
# Symmetry: Imm2 (44)

=====

9.
# KCaIr4 (PBE, optimized geometry)
data_KCaIr4
_cell_length_a 5.4050
_cell_length_b 5.4050
_cell_length_c 5.4050
_cell_angle_alpha 60.00
_cell_angle_beta 60.00
_cell_angle_gamma 60.00
_symmetry_space_group_name_H-M 'P 1'
_symmetry_Int_Tables_number 1
loop_
_symmetry_equiv_pos_as_xyz
'x,y,z'
loop_
_atom_site_label
_atom_site_type_symbol
_atom_site_fract_x
_atom_site_fract_y
_atom_site_fract_z
K1 K 0.0000 0.0000 0.0000
Ca1 Ca 0.7500 0.7500 0.7500
Ir1 Ir 0.3752 0.3752 0.3752
Ir2 Ir 0.3752 0.3752 0.8743
Ir3 Ir 0.3752 0.8743 0.3752
Ir4 Ir 0.8743 0.3752 0.3752
# Density of states at the Fermi level (states/eV/atom): 1.490
# DFT formation energy (meV/atom): 85
# Symmetry: F-43m (216)

=====

10.
# K2CaIr (PBE, optimized geometry)
data_K2CaIr
_cell_length_a 3.6133
_cell_length_b 5.6088
_cell_length_c 6.1617
_cell_angle_alpha 90.00
_cell_angle_beta 90.00
_cell_angle_gamma 90.00
_symmetry_space_group_name_H-M 'P 1'
_symmetry_Int_Tables_number 1
loop_
_symmetry_equiv_pos_as_xyz
'x,y,z'
loop_
_atom_site_label
_atom_site_type_symbol
_atom_site_fract_x
_atom_site_fract_y
_atom_site_fract_z
K1 K 0.0000 0.0000 0.2239
K2 K 0.0000 0.0000 0.7761
Ca1 Ca 0.5000 0.5000 0.5000
Ir1 Ir 0.5000 0.5000 0.0000
# Density of states at the Fermi level (states/eV/atom): 1.126
# Excess energy over the best structure of this formula in the dataset (meV/atom): 511.6
# DFT formation energy (meV/atom): 742
# Symmetry: Pmmm (47)

=====

11.
# K2CaIr (PBE, optimized geometry)
data_K2CaIr
_cell_length_a 3.6913
_cell_length_b 3.6913
_cell_length_c 11.1267
_cell_angle_alpha 90.00
_cell_angle_beta 90.00
_cell_angle_gamma 90.00
_symmetry_space_group_name_H-M 'P 1'
_symmetry_Int_Tables_number 1
loop_
_symmetry_equiv_pos_as_xyz
'x,y,z'
loop_
_atom_site_label
_atom_site_type_symbol
_atom_site_fract_x
_atom_site_fract_y
_atom_site_fract_z
K1 K 0.0000 0.0000 0.0000
K2 K 0.5000 0.5000 0.3788
Ca1 Ca 0.0000 0.0000 0.6911
Ir1 Ir 0.5000 0.5000 0.8033
# Density of states at the Fermi level (states/eV/atom): 0.611
# Excess energy over the best structure of this formula in the dataset (meV/atom): 36.8
# DFT formation energy (meV/atom): 267
# Symmetry: P4mm (99)

=====

12.
# K2CaIr (PBE, optimized geometry)
data_K2CaIr
_cell_length_a 8.4227
_cell_length_b 8.4227
_cell_length_c 8.4227
_cell_angle_alpha 156.14
_cell_angle_beta 138.70
_cell_angle_gamma 48.25
_symmetry_space_group_name_H-M 'P 1'
_symmetry_Int_Tables_number 1
loop_
_symmetry_equiv_pos_as_xyz
'x,y,z'
loop_
_atom_site_label
_atom_site_type_symbol
_atom_site_fract_x
_atom_site_fract_y
_atom_site_fract_z
K1 K 0.0000 0.0000 0.0000
K2 K 0.6644 0.1644 0.5000
Ca1 Ca 0.3523 0.8523 0.5000
Ir1 Ir 0.4859 0.4859 0.0000
# Density of states at the Fermi level (states/eV/atom): 0.675
# Excess energy over the best structure of this formula in the dataset (meV/atom): 168.1
# DFT formation energy (meV/atom): 398
# Symmetry: Imm2 (44)